[1]
VASP calculation (PBE) on a relaxed structure of LiTm2USe6.

Properties
The density of states at the Fermi level is 0.54 states/eV per cell. Its energy relative to the elements, uncorrected is -1455 meV/atom.

abc: 7.0350 7.0347 7.5721
angles: 62.32 62.32 60.00
Last column: magnetic moment on the atom in μB.
Positions (direct):
Se: 0.7233 0.1123 0.7505  -0.04
Se: 0.1124 0.4139 0.7505  -0.04
Se: 0.4139 0.7233 0.7505  -0.04
Se: 0.2172 0.9341 0.2555  -0.04
Se: 0.5931 0.2173 0.2555  -0.04
Se: 0.9341 0.5931 0.2555  -0.04
Li: 0.8151 0.8151 0.5547  0.00
Tm: 0.0094 0.0094 0.9719  -0.01
Tm: 0.5173 0.5173 0.4480  -0.01
U: 0.3258 0.3258 0.0227  1.29

[2]
VASP calculation (PBE) on a relaxed structure of Li3Tm2USe6.

Properties
The density of states at the Fermi level is 6.47 states/eV per cell. Its energy relative to the elements, uncorrected is -1496 meV/atom.

abc: 7.0048 7.0048 6.9207
angles: 99.71 99.71 119.99
Last column: magnetic moment on the atom in μB.
Positions (direct):
Tm: 0.6665 0.3335 0.0000  0.09
Tm: 0.3335 0.6665 0.0000  0.09
Se: 0.0845 0.4243 0.2538  -0.01
Se: 0.2547 0.2547 0.7453  -0.01
Se: 0.7453 0.7453 0.2547  -0.01
Se: 0.9155 0.5757 0.7462  -0.01
Se: 0.5757 0.9155 0.7462  -0.01
Se: 0.4243 0.0845 0.2538  -0.01
Li: 0.5000 0.5000 0.5000  0.00
Li: 0.8322 0.1678 0.5000  0.00
Li: 0.1678 0.8322 0.5000  0.00
U: 0.0000 0.0000 0.0000  2.60

[3]
VASP calculation (PBE) on a relaxed structure of Li3TmU2Se6.

Properties
The density of states at the Fermi level is 8.14 states/eV per cell. Its energy relative to the elements, uncorrected is -1333 meV/atom.

abc: 6.9904 6.9904 6.9594
angles: 99.63 99.63 120.01
Last column: magnetic moment on the atom in μB.
Positions (direct):
Se: 0.9142 0.5859 0.7427  -0.04
Se: 0.0858 0.4141 0.2573  -0.04
Se: 0.7570 0.7570 0.2564  -0.04
Se: 0.4141 0.0858 0.2573  -0.04
Se: 0.5859 0.9142 0.7427  -0.04
Se: 0.2430 0.2430 0.7436  -0.04
Tm: 0.0000 0.0000 0.0000  0.15
Li: 0.1649 0.8351 0.5000  0.00
Li: 0.8351 0.1649 0.5000  0.00
Li: 0.5000 0.5000 0.5000  0.00
U: 0.3331 0.6669 0.0000  2.66
U: 0.6669 0.3331 0.0000  2.66

[4]
VASP calculation (PBE) on a relaxed structure of LiTm3U3Se8.

Properties
The density of states at the Fermi level is 16.98 states/eV per cell. Its energy relative to the elements, uncorrected is -1397 meV/atom.

abc: 7.9879 7.9882 8.1169
angles: 119.48 90.00 120.00
Last column: magnetic moment on the atom in μB.
Positions (direct):
Se: 0.7556 0.0041 0.7527  -0.04
Se: 0.2486 0.4971 0.7527  -0.04
Se: 0.7514 0.9959 0.2473  -0.04
Se: 0.2486 0.0041 0.7527  -0.04
Se: 0.7514 0.5029 0.2473  -0.04
Se: 0.7532 0.5063 0.7595  -0.03
Se: 0.2468 0.4937 0.2405  -0.03
Se: 0.2444 0.9959 0.2473  -0.04
Li: 0.0000 0.0000 0.5000  0.00
Tm: 0.0000 0.0000 0.0000  -0.01
Tm: 0.0000 0.5000 0.0000  -0.01
Tm: 0.5000 0.5000 0.0000  -0.01
U: 0.5000 0.5000 0.5000  2.55
U: 0.0000 0.5000 0.5000  2.55
U: 0.5000 0.0000 0.5000  2.55

[5]
VASP calculation (PBE) on a relaxed structure of Li2TmUSe4.

Properties
The density of states at the Fermi level is 6.45 states/eV per cell. Its energy relative to the elements, uncorrected is -1413 meV/atom.

abc: 4.0233 7.0073 6.9371
angles: 109.58 90.00 90.00
Last column: magnetic moment on the atom in μB.
Positions (direct):
Li: 0.5000 0.0000 0.5000  0.00
Li: 0.0000 0.5000 0.5000  0.00
Se: 0.5000 0.7420 0.7424  -0.04
Se: 0.0000 0.7468 0.2535  -0.02
Se: 0.5000 0.2580 0.2576  -0.04
Se: 0.0000 0.2532 0.7465  -0.02
U: 0.0000 0.0000 0.0000  2.62
Tm: 0.5000 0.5000 0.0000  0.12

[6]
VASP calculation (PBE) on a relaxed structure of Li3Tm3USe8.

Properties
The density of states at the Fermi level is 5.84 states/eV per cell. Its energy relative to the elements, uncorrected is -1561 meV/atom.

abc: 8.0910 8.0899 8.0028
angles: 120.40 90.00 120.00
Last column: magnetic moment on the atom in μB.
Positions (direct):
U: 0.0000 0.0000 0.5000  2.04
Se: 0.7509 0.0019 0.2531  -0.03
Se: 0.2491 0.4981 0.7469  -0.03
Se: 0.7491 0.9981 0.7469  -0.03
Se: 0.2509 0.0019 0.2531  -0.03
Se: 0.7509 0.5019 0.2531  -0.03
Se: 0.2499 0.4998 0.2499  0.00
Se: 0.2491 0.9981 0.7469  -0.03
Se: 0.7501 0.5002 0.7501  0.00
Li: 0.0000 0.0000 0.0000  0.00
Li: 0.0000 0.5000 0.0000  0.00
Li: 0.5000 0.5000 0.0000  0.00
Tm: 0.0000 0.5000 0.5000  0.02
Tm: 0.5000 0.0000 0.5000  0.02
Tm: 0.5000 0.5000 0.5000  0.02

- Which value of energy relative to the elements, uncorrected does entry 5 give?
  -1413 meV/atom

- The highest energy relative to the elements, uncorrected belongs to which entry?
  Li3TmU2Se6